# 1
Computed, not measured: a geometry-optimized Al2PAu structure at the PBE level of DFT.

Unit cell a=4.820 b=3.843 c=8.407 alpha=90.00 beta=90.00 gamma=90.00
Space group Amm2 (No. 38)
One atom of each set of equivalent atoms:
Al (0.000, 0.000, 0.000) x2
Al (0.500, 0.000, 0.446) x2
P (0.000, 0.000, 0.319) x2
Au (0.500, 0.000, 0.137) x2

## Properties
**Raw total energy**: -33.7 eV for the cell shown

# 2
Computed, not measured: a geometry-optimized AlPAu2 structure at the PBE level of DFT.

Unit cell a=6.498 b=6.498 c=6.498 alpha=90.00 beta=90.00 gamma=90.00
Space group Fm-3m (No. 225)
One atom of each set of equivalent atoms:
Al (0.000, 0.000, 0.000) x4
P (0.000, 0.000, 0.500) x4
Au (0.250, 0.250, 0.250) x8

## Properties
**Raw total energy**: -60.4 eV for the cell shown

# 3
Computed, not measured: a geometry-optimized Al2PAu structure at the PBE level of DFT.

Unit cell a=4.230 b=4.230 c=7.315 alpha=90.00 beta=90.00 gamma=90.00
Space group I4/mmm (No. 139)
One atom of each set of equivalent atoms:
Al (0.000, 0.500, 0.250) x4
P (0.000, 0.000, 0.000) x2
Au (0.000, 0.000, 0.500) x2

## Properties
**Raw total energy**: -32.0 eV for the cell shown

# 4
Computed, not measured: a geometry-optimized Al2PAu structure at the PBE level of DFT.

Unit cell a=3.017 b=3.259 c=6.545 alpha=90.00 beta=90.00 gamma=90.00
Space group Pmmm (No. 47)
One atom of each set of equivalent atoms:
Al (0.000, 0.000, 0.228) x2
P (0.500, 0.500, 0.000) x1
Au (0.500, 0.500, 0.500) x1

## Properties
**Raw total energy**: -16.4 eV for the cell shown

# 5
Computed, not measured: a geometry-optimized AlPAu structure at the PBE level of DFT.

Unit cell a=3.722 b=4.752 c=11.524 alpha=90.00 beta=90.00 gamma=90.00
Space group Fmm2 (No. 42)
One atom of each set of equivalent atoms:
Al (0.000, 0.000, 0.000) x4
P (0.000, 0.000, 0.361) x4
Au (0.000, 0.000, 0.658) x4

## Properties
**Raw total energy**: -48.3 eV for the cell shown

# 6
Computed, not measured: a geometry-optimized AlPAuS2 structure at the PBE level of DFT.

Unit cell a=4.891 b=4.891 c=4.809 alpha=90.00 beta=90.00 gamma=90.00
Space group P4/mmm (No. 123)
One atom of each set of equivalent atoms:
Al (0.000, 0.000, 0.000) x1
P (0.500, 0.500, 0.000) x1
Au (0.000, 0.000, 0.500) x1
S (0.000, 0.500, 0.500) x2

## Properties
**E_form (uncorrected)**: 0.96 eV/atom

# 7
Computed, not measured: a geometry-optimized AlPAu2S structure at the PBE level of DFT.

Unit cell a=4.723 b=4.723 c=4.780 alpha=90.00 beta=90.00 gamma=90.00
Space group P4/mmm (No. 123)
One atom of each set of equivalent atoms:
Al (0.000, 0.000, 0.000) x1
P (0.500, 0.500, 0.000) x1
Au (0.000, 0.500, 0.500) x2
S (0.000, 0.000, 0.500) x1

## Properties
**E_form (uncorrected)**: 0.70 eV/atom

# 8
Computed, not measured: a geometry-optimized AlP2AuS structure at the PBE level of DFT.

Unit cell a=4.664 b=4.664 c=4.510 alpha=90.00 beta=90.00 gamma=90.00
Space group P4/mmm (No. 123)
One atom of each set of equivalent atoms:
Al (0.000, 0.000, 0.000) x1
P (0.000, 0.500, 0.000) x2
Au (0.500, 0.500, 0.500) x1
S (0.000, 0.000, 0.500) x1

## Properties
**E_form (uncorrected)**: 0.68 eV/atom

# 9
Computed, not measured: a geometry-optimized AlPAuS2 structure at the PBE level of DFT.

Unit cell a=4.560 b=4.560 c=4.730 alpha=90.00 beta=90.00 gamma=90.00
Space group P4/mmm (No. 123)
One atom of each set of equivalent atoms:
Al (0.000, 0.000, 0.000) x1
P (0.000, 0.000, 0.500) x1
Au (0.500, 0.500, 0.500) x1
S (0.000, 0.500, 0.000) x2

## Properties
**E_form (uncorrected)**: 0.52 eV/atom

# 10
Computed, not measured: a geometry-optimized AlP2AuSe structure at the PBE level of DFT.

Unit cell a=4.603 b=4.603 c=4.898 alpha=90.00 beta=90.00 gamma=90.00
Space group P4/mmm (No. 123)
One atom of each set of equivalent atoms:
Al (0.000, 0.000, 0.000) x1
P (0.000, 0.500, 0.000) x2
Au (0.500, 0.500, 0.500) x1
Se (0.000, 0.000, 0.500) x1

## Properties
**E_form (uncorrected)**: 0.70 eV/atom

# 11
Computed, not measured: a geometry-optimized AlSiPAu2 structure at the PBE level of DFT.

Unit cell a=4.715 b=4.715 c=4.862 alpha=90.00 beta=90.00 gamma=90.00
Space group P4/mmm (No. 123)
One atom of each set of equivalent atoms:
Al (0.000, 0.000, 0.000) x1
Si (0.500, 0.500, 0.000) x1
P (0.500, 0.500, 0.500) x1
Au (0.000, 0.500, 0.500) x2

## Properties
**E_form (uncorrected)**: 0.56 eV/atom

# 12
Computed, not measured: a geometry-optimized AlVPAu2 structure at the PBE level of DFT.

Unit cell a=4.675 b=4.675 c=4.458 alpha=90.00 beta=90.00 gamma=90.00
Space group P4/mmm (No. 123)
One atom of each set of equivalent atoms:
Al (0.000, 0.000, 0.000) x1
V (0.500, 0.500, 0.000) x1
P (0.500, 0.500, 0.500) x1
Au (0.000, 0.500, 0.500) x2

## Properties
**Raw total energy**: -22.9 eV for the cell shown

# 13
Computed, not measured: a geometry-optimized PaAl2Au9 structure at the PBE level of DFT.

Unit cell a=11.520 b=11.520 c=6.891 alpha=90.00 beta=90.00 gamma=90.00
Space group I4_1/amd (No. 141, origin choice 2)
One atom of each set of equivalent atoms:
Pa (0.000, 0.250, 0.375) x4
Al (0.000, 0.000, 0.000) x8
Au (0.000, 0.250, 0.875) x4
Au (0.123, 0.072, 0.659) x32

## Properties
**Raw total energy**: -196.9 eV for the cell shown

# 14
Computed, not measured: a geometry-optimized Pa2AlAu structure at the PBE level of DFT.

Unit cell a=3.149 b=3.149 c=8.827 alpha=90.00 beta=90.00 gamma=90.00
Space group P4/mmm (No. 123)
One atom of each set of equivalent atoms:
Pa (0.000, 0.000, 0.247) x2
Al (0.500, 0.500, 0.000) x1
Au (0.500, 0.500, 0.500) x1

## Properties
**Raw total energy**: -26.9 eV for the cell shown

# 15
Computed, not measured: a geometry-optimized Pa2Al5Au structure at the PBE level of DFT.

Unit cell a=6.141 b=6.141 c=8.523 alpha=90.00 beta=90.00 gamma=90.00
Space group I4/mmm (No. 139)
One atom of each set of equivalent atoms:
Pa (0.000, 0.500, 0.000) x4
Al (0.000, 0.000, 0.000) x2
Al (0.250, 0.250, 0.250) x8
Au (0.000, 0.000, 0.500) x2

## Properties
**Raw total energy**: -86.0 eV for the cell shown